DFT (PBE) results for NaGeB after structural relaxation.

```
data_NaGeB
_chemical_formula_sum 'Na4 Ge4 B4'
_cell_length_a 6.1637
_cell_length_b 7.1676
_cell_length_c 4.6718
_cell_angle_alpha 90.00
_cell_angle_beta 90.00
_cell_angle_gamma 90.00
_symmetry_space_group_name_H-M 'P 1'
_symmetry_Int_Tables_number 1
loop_
_symmetry_equiv_pos_as_xyz
'x,y,z'
loop_
_atom_site_label
_atom_site_type_symbol
_atom_site_fract_x
_atom_site_fract_y
_atom_site_fract_z
Na1 Na 0.2387 0.1092 0.0000
Na2 Na 0.2613 0.6092 0.0000
Na3 Na 0.7387 0.3908 0.0000
Na4 Na 0.7613 0.8908 0.0000
Ge1 Ge 0.1071 0.3566 0.5000
Ge2 Ge 0.3929 0.8566 0.5000
Ge3 Ge 0.6071 0.1434 0.5000
Ge4 Ge 0.8929 0.6434 0.5000
B1 B 0.0589 0.8946 0.5000
B2 B 0.4411 0.3946 0.5000
B3 B 0.5589 0.6054 0.5000
B4 B 0.9411 0.1054 0.5000
```

The calculated total energy comes out at -4.107 eV per atom. The calculation puts the formation energy at 0.098 eV/atom.